No. 1
{
  "formula": "Li2ZrFe",
  "functional": "GGA-PBE",
  "state": "relaxed",
  "cell": [[5.456, -1.533, 0.000], [5.456, 1.533, 0.000], [-1.597, 0.000, 3.868]],
  "species": ["Li", "Li", "Zr", "Fe"],
  "fractional_positions": [[0.226, 0.226, 0.226], [0.774, 0.774, 0.774], [0.000, 0.000, 0.500], [0.500, 0.500, 0.000]],
  "n_ef_per_ev_fu": 3.2,
  "ef_ev_per_fu": 0.7,
  "e_above_lowest_polymorph_ev_per_atom": 0.000
}



No. 2
{
  "formula": "RbNaPCl2",
  "functional": "GGA-PBE",
  "state": "relaxed",
  "cell": [[5.460, 0.000, 0.000], [0.000, 5.460, 0.000], [0.000, 0.000, 5.514]],
  "species": ["Rb", "Na", "P", "Cl", "Cl"],
  "fractional_positions": [[0.000, 0.000, 0.000], [0.500, 0.500, 0.500], [0.500, 0.500, 0.000], [0.000, 0.500, 0.500], [0.500, 0.000, 0.500]],
  "e_form_raw_mev_per_atom": -627,
  "e_above_lowest_polymorph_ev_per_atom": 0.000
}



No. 3
{
  "formula": "PrY2Si2Pt7",
  "functional": "GGA-PBE",
  "state": "relaxed",
  "cell": [[2.910, -2.870, 0.000], [2.910, 2.870, 0.000], [-2.111, 0.000, 13.713]],
  "species": ["Pr", "Y", "Y", "Si", "Si", "Pt", "Pt", "Pt", "Pt", "Pt", "Pt", "Pt"],
  "fractional_positions": [[0.000, 0.000, 0.000], [0.116, 0.116, 0.359], [0.884, 0.884, 0.641], [0.403, 0.403, 0.739], [0.597, 0.597, 0.261], [0.064, 0.563, 0.169], [0.367, 0.367, 0.571], [0.437, 0.936, 0.831], [0.500, 0.500, 0.000], [0.563, 0.064, 0.169], [0.633, 0.633, 0.429], [0.936, 0.437, 0.831]],
  "e_form_raw_mev_per_atom": -1046,
  "n_ef_per_ev_fu": 5.4
}



No. 4
{
  "formula": "CaPb2Br",
  "functional": "GGA-PBE",
  "state": "relaxed",
  "cell": [[3.808, 0.000, 0.000], [0.000, 5.634, 0.000], [0.000, 0.000, 6.007]],
  "species": ["Ca", "Pb", "Pb", "Br"],
  "fractional_positions": [[0.000, 0.000, 0.000], [0.500, 0.500, 0.242], [0.500, 0.500, 0.758], [0.000, 0.000, 0.500]],
  "e_form_raw_mev_per_atom": -472,
  "n_ef_per_ev_fu": 1.1,
  "e_above_lowest_polymorph_ev_per_atom": 0.261
}



No. 5
{
  "formula": "Cu2Cl3",
  "functional": "GGA-PBE",
  "state": "relaxed",
  "cell": [[0.000, 11.434, 1.694], [5.894, 0.000, 1.694], [5.894, 11.434, 0.000]],
  "species": ["Cu", "Cu", "Cu", "Cu", "Cl", "Cl", "Cl", "Cl", "Cl", "Cl"],
  "fractional_positions": [[0.166, 0.834, 0.394], [0.644, 0.856, 0.416], [0.834, 0.166, 0.606], [0.856, 0.644, 0.084], [0.074, 0.415, 0.068], [0.182, 0.806, 0.176], [0.268, 0.268, 0.732], [0.415, 0.074, 0.444], [0.518, 0.518, 0.982], [0.806, 0.182, 0.835]],
  "e_form_raw_mev_per_atom": -462,
  "n_ef_per_ev_fu": 1.6,
  "e_above_lowest_polymorph_ev_per_atom": 0.043
}



No. 6
{
  "formula": "BaAg2PbCl8",
  "functional": "GGA-PBE",
  "state": "relaxed",
  "cell": [[-3.555, 3.555, 6.960], [3.555, -3.555, 6.960], [3.555, 3.555, -6.960]],
  "species": ["Ba", "Ag", "Ag", "Pb", "Cl", "Cl", "Cl", "Cl", "Cl", "Cl", "Cl", "Cl"],
  "fractional_positions": [[0.000, 0.000, 0.000], [0.500, 0.500, 0.000], [0.750, 0.250, 0.500], [0.250, 0.750, 0.500], [0.266, 0.428, 0.570], [0.304, 0.734, 0.162], [0.401, 0.031, 0.048], [0.572, 0.142, 0.838], [0.647, 0.599, 0.629], [0.858, 0.696, 0.430], [0.969, 0.017, 0.371], [0.983, 0.353, 0.952]],
  "e_form_raw_mev_per_atom": -1016,
  "n_ef_per_ev_fu": 5.6
}



No. 7
{
  "formula": "AgHW2I",
  "functional": "GGA-PBE",
  "state": "relaxed",
  "cell": [[5.185, 0.000, 0.000], [0.000, 5.185, 0.000], [0.000, 0.000, 3.265]],
  "species": ["Ag", "H", "W", "W", "I"],
  "fractional_positions": [[0.000, 0.000, 0.000], [0.500, 0.500, 0.000], [0.000, 0.500, 0.500], [0.500, 0.000, 0.500], [0.500, 0.500, 0.500]],
  "n_ef_per_ev_fu": 4.9,
  "final_energy_ev_per_atom": -4.706
}



No. 8
{
  "formula": "KBa",
  "functional": "GGA-PBE",
  "state": "relaxed",
  "cell": [[4.513, 0.000, 0.000], [-2.257, 3.909, 0.000], [0.000, 0.000, 7.733]],
  "species": ["K", "Ba"],
  "fractional_positions": [[0.000, 0.000, 0.000], [0.333, 0.667, 0.500]],
  "n_ef_per_ev_fu": 2.6,
  "ef_ev_per_fu": 0.2
}



No. 9
{
  "formula": "MgAl3Re",
  "functional": "GGA-PBE",
  "state": "relaxed",
  "cell": [[4.801, 0.000, 0.000], [0.000, 4.801, 0.000], [0.000, 0.000, 4.801]],
  "species": ["Mg", "Al", "Al", "Al", "Re"],
  "fractional_positions": [[0.000, 0.000, 0.000], [0.000, 0.500, 0.500], [0.500, 0.000, 0.500], [0.500, 0.500, 0.000], [0.500, 0.500, 0.500]],
  "n_ef_per_ev_fu": 2.0,
  "ef_ev_per_fu": 1.5,
  "e_above_lowest_polymorph_ev_per_atom": 0.000
}



No. 10
{
  "formula": "La6Mg5In",
  "functional": "GGA-PBE",
  "state": "relaxed",
  "cell": [[2.800, -8.413, 0.000], [2.800, 8.413, 0.000], [0.000, 0.000, 7.905]],
  "species": ["La", "La", "La", "La", "La", "La", "Mg", "Mg", "Mg", "Mg", "Mg", "In"],
  "fractional_positions": [[0.000, 0.000, 0.248], [0.000, 0.000, 0.752], [0.334, 0.666, 0.250], [0.334, 0.666, 0.750], [0.666, 0.334, 0.250], [0.666, 0.334, 0.750], [0.167, 0.833, 0.500], [0.170, 0.830, 0.000], [0.500, 0.500, 0.500], [0.830, 0.170, 0.000], [0.833, 0.167, 0.500], [0.500, 0.500, 0.000]],
  "n_ef_per_ev_fu": 15.0,
  "ef_ev_per_fu": -2.3
}



No. 11
{
  "formula": "Ce2ReHg",
  "functional": "GGA-PBE",
  "state": "relaxed",
  "cell": [[3.365, 0.000, 0.000], [0.000, 3.365, 0.000], [0.000, 0.000, 8.483]],
  "species": ["Ce", "Ce", "Re", "Hg"],
  "fractional_positions": [[0.000, 0.000, 0.208], [0.000, 0.000, 0.792], [0.500, 0.500, 0.000], [0.500, 0.500, 0.500]],
  "n_ef_per_ev_fu": 7.1,
  "ef_ev_per_fu": -0.4,
  "e_above_lowest_polymorph_ev_per_atom": 0.000
}



No. 12
{
  "formula": "BSbTe2Rh",
  "functional": "GGA-PBE",
  "state": "relaxed",
  "cell": [[4.744, 0.000, 0.000], [0.000, 4.744, 0.000], [0.000, 0.000, 4.645]],
  "species": ["B", "Sb", "Te", "Te", "Rh"],
  "fractional_positions": [[0.000, 0.000, 0.000], [0.000, 0.000, 0.500], [0.000, 0.500, 0.000], [0.500, 0.000, 0.000], [0.500, 0.500, 0.500]],
  "e_form_raw_mev_per_atom": 862,
  "n_ef_per_ev_fu": 1.7,
  "e_above_lowest_polymorph_ev_per_atom": 0.000
}



No. 13
{
  "formula": "Nb2InGa",
  "functional": "GGA-PBE",
  "state": "relaxed",
  "cell": [[2.613, -1.519, 0.000], [2.613, 1.519, 0.000], [-1.696, 0.000, 9.492]],
  "species": ["Nb", "Nb", "In", "Ga"],
  "fractional_positions": [[0.000, 0.000, 0.000], [0.170, 0.170, 0.522], [0.751, 0.751, 0.262], [0.585, 0.585, 0.761]],
  "n_ef_per_ev_fu": 2.9,
  "ef_ev_per_fu": 0.0,
  "e_above_lowest_polymorph_ev_per_atom": 0.051
}



No. 14
{
  "formula": "TiGa2Sn",
  "functional": "GGA-PBE",
  "state": "relaxed",
  "cell": [[2.148, 1.240, 5.148], [-2.148, 1.240, 5.148], [0.000, -2.481, 5.148]],
  "species": ["Ti", "Ga", "Ga", "Sn"],
  "fractional_positions": [[0.000, 0.000, 0.000], [0.268, 0.268, 0.268], [0.732, 0.732, 0.732], [0.500, 0.500, 0.500]],
  "n_ef_per_ev_fu": 3.5,
  "ef_ev_per_fu": 0.5
}



No. 15
{
  "formula": "La3Nd4Sc2",
  "functional": "GGA-PBE",
  "state": "relaxed",
  "cell": [[5.733, -2.544, 0.000], [5.733, 2.544, 0.000], [-3.526, 0.000, 10.224]],
  "species": ["La", "La", "La", "Nd", "Nd", "Nd", "Nd", "Sc", "Sc"],
  "fractional_positions": [[0.000, 0.000, 0.000], [0.329, 0.329, 0.445], [0.671, 0.671, 0.555], [0.003, 0.003, 0.671], [0.331, 0.331, 0.110], [0.669, 0.669, 0.890], [0.997, 0.997, 0.329], [0.335, 0.335, 0.780], [0.665, 0.665, 0.220]],
  "n_ef_per_ev_fu": 15.2,
  "ef_ev_per_fu": 0.5
}



No. 16
{
  "formula": "YMgCu2",
  "functional": "GGA-PBE",
  "state": "relaxed",
  "cell": [[1.741, -10.122, 0.000], [1.741, 10.122, 0.000], [0.000, 0.000, 4.395]],
  "species": ["Y", "Y", "Mg", "Mg", "Cu", "Cu", "Cu", "Cu"],
  "fractional_positions": [[0.082, 0.918, 0.750], [0.918, 0.082, 0.250], [0.333, 0.667, 0.750], [0.667, 0.333, 0.250], [0.266, 0.734, 0.250], [0.466, 0.534, 0.750], [0.534, 0.466, 0.250], [0.734, 0.266, 0.750]],
  "n_ef_per_ev_fu": 2.5,
  "ef_ev_per_fu": -0.3
}



No. 17
{
  "formula": "Y3GaSO",
  "functional": "GGA-PBE",
  "state": "relaxed",
  "cell": [[8.463, 0.000, 0.000], [0.000, 3.872, 0.000], [-1.817, 0.000, 8.487]],
  "species": ["Y", "Y", "Y", "Y", "Y", "Y", "Ga", "Ga", "S", "S", "O", "O"],
  "fractional_positions": [[0.083, 0.250, 0.329], [0.328, 0.250, 0.990], [0.391, 0.750, 0.641], [0.609, 0.250, 0.359], [0.672, 0.750, 0.010], [0.917, 0.750, 0.671], [0.327, 0.750, 0.285], [0.673, 0.250, 0.715], [0.150, 0.250, 0.660], [0.850, 0.750, 0.340], [0.405, 0.750, 0.903], [0.595, 0.250, 0.097]],
  "e_form_raw_mev_per_atom": -1812,
  "n_ef_per_ev_fu": 2.5
}



No. 18
{
  "formula": "Li2Ac3Pt7",
  "functional": "GGA-PBE",
  "state": "relaxed",
  "cell": [[2.796, 1.614, 8.782], [-2.796, 1.614, 8.782], [0.000, -3.228, 8.782]],
  "species": ["Li", "Li", "Ac", "Ac", "Ac", "Pt", "Pt", "Pt", "Pt", "Pt", "Pt", "Pt"],
  "fractional_positions": [[0.165, 0.165, 0.165], [0.835, 0.835, 0.835], [0.361, 0.361, 0.361], [0.500, 0.500, 0.500], [0.639, 0.639, 0.639], [0.000, 0.000, 0.000], [0.080, 0.080, 0.576], [0.080, 0.576, 0.080], [0.424, 0.920, 0.920], [0.576, 0.080, 0.080], [0.920, 0.424, 0.920], [0.920, 0.920, 0.424]],
  "n_ef_per_ev_fu": 3.9,
  "ef_ev_per_fu": -11.2
}



No. 19
{
  "formula": "Tb2Dy2TmMg2",
  "functional": "GGA-PBE",
  "state": "relaxed",
  "cell": [[2.710, 1.565, 7.978], [-2.710, 1.565, 7.978], [0.000, -3.130, 7.978]],
  "species": ["Tb", "Tb", "Dy", "Dy", "Tm", "Mg", "Mg"],
  "fractional_positions": [[0.154, 0.154, 0.154], [0.846, 0.846, 0.846], [0.426, 0.426, 0.426], [0.574, 0.574, 0.574], [0.000, 0.000, 0.000], [0.289, 0.289, 0.289], [0.711, 0.711, 0.711]],
  "n_ef_per_ev_fu": 8.1,
  "ef_ev_per_fu": -0.1
}



No. 20
{
  "formula": "Mg2SiOsN",
  "functional": "GGA-PBE",
  "state": "relaxed",
  "cell": [[4.309, 0.000, 0.000], [0.000, 4.309, 0.000], [0.000, 0.000, 3.894]],
  "species": ["Mg", "Mg", "Si", "Os", "N"],
  "fractional_positions": [[0.000, 0.500, 0.000], [0.500, 0.000, 0.000], [0.000, 0.000, 0.500], [0.500, 0.500, 0.500], [0.500, 0.500, 0.000]],
  "e_form_raw_mev_per_atom": 7,
  "n_ef_per_ev_fu": 2.4
}



No. 21
{
  "formula": "ZnIn2Ga",
  "functional": "GGA-PBE",
  "state": "relaxed",
  "cell": [[1.596, 0.921, 10.369], [-1.596, 0.921, 10.369], [0.000, -1.842, 10.369]],
  "species": ["Zn", "In", "In", "Ga"],
  "fractional_positions": [[0.000, 0.000, 0.000], [0.409, 0.409, 0.409], [0.591, 0.591, 0.591], [0.500, 0.500, 0.500]],
  "n_ef_per_ev_fu": 2.4,
  "ef_ev_per_fu": 0.5
}



No. 22
{
  "formula": "Ag3PbSe",
  "functional": "GGA-PBE",
  "state": "relaxed",
  "cell": [[5.333, 0.000, 0.000], [0.000, 5.333, 0.000], [0.000, 0.000, 5.333]],
  "species": ["Ag", "Ag", "Ag", "Pb", "Se"],
  "fractional_positions": [[0.000, 0.000, 0.500], [0.000, 0.500, 0.000], [0.500, 0.000, 0.000], [0.000, 0.000, 0.000], [0.500, 0.500, 0.500]],
  "e_form_raw_mev_per_atom": 849,
  "n_ef_per_ev_fu": 7.4,
  "e_above_lowest_polymorph_ev_per_atom": 0.516
}



No. 23
{
  "formula": "Sr2Tl8Zn",
  "functional": "GGA-PBE",
  "state": "relaxed",
  "cell": [[5.097, 0.000, 0.000], [0.000, 5.097, 0.000], [0.000, 0.000, 12.770]],
  "species": ["Sr", "Sr", "Tl", "Tl", "Tl", "Tl", "Tl", "Tl", "Tl", "Tl", "Zn"],
  "fractional_positions": [[0.000, 0.000, 0.191], [0.000, 0.000, 0.809], [0.000, 0.500, 0.000], [0.000, 0.500, 0.374], [0.000, 0.500, 0.626], [0.500, 0.000, 0.000], [0.500, 0.000, 0.374], [0.500, 0.000, 0.626], [0.500, 0.500, 0.191], [0.500, 0.500, 0.809], [0.000, 0.000, 0.500]],
  "n_ef_per_ev_fu": 6.7,
  "ef_ev_per_fu": -1.8
}



No. 24
{
  "formula": "Ta2TiOsN",
  "functional": "GGA-PBE",
  "state": "relaxed",
  "cell": [[4.253, 0.000, 0.000], [0.000, 4.253, 0.000], [0.000, 0.000, 4.010]],
  "species": ["Ta", "Ta", "Ti", "Os", "N"],
  "fractional_positions": [[0.000, 0.500, 0.000], [0.500, 0.000, 0.000], [0.000, 0.000, 0.500], [0.500, 0.500, 0.500], [0.000, 0.000, 0.000]],
  "e_form_raw_mev_per_atom": -610,
  "n_ef_per_ev_fu": 4.9
}



No. 25
{
  "formula": "BaZn3Pt",
  "functional": "GGA-PBE",
  "state": "relaxed",
  "cell": [[2.162, -8.949, 0.000], [2.162, 8.949, 0.000], [0.000, 0.000, 5.845]],
  "species": ["Ba", "Ba", "Zn", "Zn", "Zn", "Zn", "Zn", "Zn", "Pt", "Pt"],
  "fractional_positions": [[0.074, 0.926, 0.750], [0.926, 0.074, 0.250], [0.292, 0.708, 0.504], [0.292, 0.708, 0.996], [0.418, 0.582, 0.750], [0.582, 0.418, 0.250], [0.708, 0.292, 0.004], [0.708, 0.292, 0.496], [0.171, 0.829, 0.250], [0.829, 0.171, 0.750]],
  "n_ef_per_ev_fu": 2.3,
  "ef_ev_per_fu": -2.1,
  "e_above_lowest_polymorph_ev_per_atom": 0.029
}



No. 26
{
  "formula": "MnZn2Ru",
  "functional": "GGA-PBE",
  "state": "relaxed",
  "cell": [[2.775, 0.000, 0.000], [0.000, 2.775, 0.000], [0.000, 0.000, 7.256]],
  "species": ["Mn", "Zn", "Zn", "Ru"],
  "fractional_positions": [[0.000, 0.000, 0.000], [0.500, 0.500, 0.250], [0.500, 0.500, 0.750], [0.000, 0.000, 0.500]],
  "n_ef_per_ev_fu": 3.5,
  "ef_ev_per_fu": 0.4,
  "e_above_lowest_polymorph_ev_per_atom": 0.144
}